Entry 1:
BeIrCl2: relaxed, PBE.

a = 4.4317 Å, b = 4.4317 Å, c = 3.0710 Å
α = 90.00°, β = 90.00°, γ = 90.31°
Positions (direct):
Be (0.0000, 0.0000, 0.0000)
Ir (0.5000, 0.5000, 0.0000)
Cl (0.0000, 0.5000, 0.5000)
Cl (0.5000, 0.0000, 0.5000)

Results
Crystal system: orthorhombic
Calculated total energy: -3.090 eV per atom
V: 15.08 Å³/atom

=====

Entry 2:
BeIrCl2: relaxed, PBE.

a = 3.1130 Å, b = 3.1130 Å, c = 8.4854 Å
α = 90.00°, β = 90.00°, γ = 90.00°
Positions (direct):
Be (0.0000, 0.0000, 0.0000)
Ir (0.5000, 0.5000, 0.1020)
Cl (0.0000, 0.0000, 0.7798)
Cl (0.5000, 0.5000, 0.3612)

Results
Crystal system: tetragonal
Calculated total energy: -4.144 eV per atom
V: 20.56 Å³/atom

=====

Entry 3:
BeIrCl2: relaxed, PBE.

a = 3.8276 Å, b = 3.8276 Å, c = 7.5742 Å
α = 92.86°, β = 92.86°, γ = 47.99°
Positions (direct):
Be (0.0000, 0.0000, 0.0000)
Ir (0.7250, 0.7250, 0.1263)
Cl (0.3002, 0.3002, 0.3675)
Cl (0.5866, 0.5866, 0.8287)

Results
Crystal system: monoclinic
Calculated total energy: -4.248 eV per atom
V: 20.58 Å³/atom

=====

Entry 4:
Be3IrCl: relaxed, PBE.

a = 3.9706 Å, b = 3.9706 Å, c = 3.9706 Å
α = 90.00°, β = 90.00°, γ = 90.00°
Positions (direct):
Be (0.0000, 0.0000, 0.5000)
Be (0.0000, 0.5000, 0.0000)
Be (0.5000, 0.0000, 0.0000)
Ir (0.5000, 0.5000, 0.5000)
Cl (0.0000, 0.0000, 0.0000)

Results
Crystal system: cubic
Calculated total energy: -3.424 eV per atom
V: 12.52 Å³/atom

=====

Entry 5:
BeIrCl2: relaxed, PBE.

a = 3.4249 Å, b = 2.9112 Å, c = 7.7033 Å
α = 90.00°, β = 96.67°, γ = 90.00°
Positions (direct):
Be (0.0000, 0.0000, 0.0000)
Ir (0.5282, 0.5000, 0.1151)
Cl (0.2110, 0.5000, 0.8194)
Cl (0.6721, 0.0000, 0.3716)

Results
Crystal system: monoclinic
Calculated total energy: -4.242 eV per atom
V: 19.07 Å³/atom

=====

Entry 6:
BeIrCl: relaxed, PBE.

a = 3.2148 Å, b = 3.2148 Å, c = 11.1249 Å
α = 90.00°, β = 90.00°, γ = 90.00°
Positions (direct):
Be (0.2500, 0.2500, 0.0561)
Be (0.7500, 0.7500, 0.9439)
Ir (0.2500, 0.2500, 0.8579)
Ir (0.7500, 0.7500, 0.1421)
Cl (0.2500, 0.7500, 0.5000)
Cl (0.7500, 0.2500, 0.5000)

Results
Crystal system: tetragonal
Calculated total energy: -4.061 eV per atom
V: 19.16 Å³/atom

=====

Entry 7:
BeIrCl2: relaxed, PBE.

a = 4.4532 Å, b = 4.4532 Å, c = 4.4532 Å
α = 60.00°, β = 60.00°, γ = 60.00°
Positions (direct):
Be (0.0000, 0.0000, 0.0000)
Ir (0.7500, 0.7500, 0.7500)
Cl (0.2500, 0.2500, 0.2500)
Cl (0.5000, 0.5000, 0.5000)

Results
Crystal system: cubic
Calculated total energy: -3.009 eV per atom
V: 15.61 Å³/atom

=====

Entry 8:
BeIrCl: relaxed, PBE.

a = 2.8371 Å, b = 2.8371 Å, c = 7.1993 Å
α = 90.00°, β = 90.00°, γ = 120.00°
Positions (direct):
Be (0.0000, 0.0000, 0.0000)
Ir (0.3333, 0.6667, 0.7476)
Cl (0.6667, 0.3333, 0.1818)

Results
Crystal system: trigonal
Calculated total energy: -4.931 eV per atom
V: 16.73 Å³/atom

=====

Entry 9:
BeIrCl: relaxed, PBE.

a = 3.2824 Å, b = 3.2824 Å, c = 9.6484 Å
α = 90.00°, β = 90.00°, γ = 120.00°
Positions (direct):
Be (0.3333, 0.6667, 0.2500)
Be (0.6667, 0.3333, 0.7500)
Ir (0.0000, 0.0000, 0.0000)
Ir (0.0000, 0.0000, 0.5000)
Cl (0.0000, 0.0000, 0.2500)
Cl (0.0000, 0.0000, 0.7500)

Results
Crystal system: hexagonal
Calculated total energy: -3.722 eV per atom
V: 15.00 Å³/atom

=====

Entry 10:
BeIr2Cl: relaxed, PBE.

a = 5.0952 Å, b = 5.0952 Å, c = 5.0952 Å
α = 139.36°, β = 139.36°, γ = 58.82°
Positions (direct):
Be (0.0000, 0.0000, 0.0000)
Ir (0.5000, 0.5000, 0.0000)
Ir (0.7500, 0.2500, 0.5000)
Cl (0.2500, 0.7500, 0.5000)

Results
Crystal system: tetragonal
Calculated total energy: -4.978 eV per atom
V: 13.89 Å³/atom

=====

Entry 11:
BeIrCl2: relaxed, PBE.

a = 2.8144 Å, b = 2.8144 Å, c = 11.2670 Å
α = 90.00°, β = 90.00°, γ = 90.00°
Positions (direct):
Be (0.0000, 0.0000, 0.0000)
Ir (0.0000, 0.0000, 0.5000)
Cl (0.5000, 0.5000, 0.1258)
Cl (0.5000, 0.5000, 0.8742)

Results
Crystal system: tetragonal
Calculated total energy: -3.426 eV per atom
V: 22.31 Å³/atom

=====

Entry 12:
BeIrCl2: relaxed, PBE.

a = 4.8003 Å, b = 4.7855 Å, c = 4.2154 Å
α = 64.09°, β = 63.73°, γ = 52.18°
Positions (direct):
Be (0.0000, 0.0000, 0.0000)
Ir (0.5000, 0.5000, 0.5000)
Cl (0.0000, 0.5000, 0.5000)
Cl (0.5000, 0.0000, 0.0000)

Results
Crystal system: orthorhombic
Calculated total energy: -3.508 eV per atom
V: 16.67 Å³/atom

=====

Entry 13:
BeIr2Cl: relaxed, PBE.

a = 2.8188 Å, b = 2.8188 Å, c = 8.2138 Å
α = 90.00°, β = 90.00°, γ = 121.08°
Positions (direct):
Be (0.0000, 0.0000, 0.0000)
Ir (0.5000, 0.5000, 0.2199)
Ir (0.5000, 0.5000, 0.7801)
Cl (0.0000, 0.0000, 0.5000)

Results
Crystal system: orthorhombic
Calculated total energy: -5.469 eV per atom
V: 13.97 Å³/atom

=====

Entry 14:
BeIrCl2: relaxed, PBE.

a = 8.3871 Å, b = 8.3871 Å, c = 3.4996 Å
α = 100.88°, β = 100.88°, γ = 20.61°
Positions (direct):
Be (0.0000, 0.0000, 0.0000)
Ir (0.5000, 0.5000, 0.5000)
Cl (0.3603, 0.3603, 0.3724)
Cl (0.6397, 0.6397, 0.6276)

Results
Crystal system: monoclinic
Calculated total energy: -4.236 eV per atom
V: 21.26 Å³/atom

=====

Entry 15:
BeIrCl: relaxed, PBE.

a = 8.6809 Å, b = 8.6655 Å, c = 3.8359 Å
α = 77.45°, β = 77.00°, γ = 25.55°
Positions (direct):
Be (0.2123, 0.7877, 0.7877)
Be (0.7877, 0.2123, 0.2123)
Ir (0.3588, 0.8086, 0.1914)
Ir (0.8086, 0.3588, 0.6412)
Cl (0.1955, 0.1955, 0.8045)
Cl (0.8945, 0.8945, 0.1055)

Results
Crystal system: orthorhombic
Calculated total energy: -5.145 eV per atom
V: 20.20 Å³/atom

=====

Entry 16:
BeIrCl2: relaxed, PBE.

a = 3.2162 Å, b = 3.2162 Å, c = 9.1799 Å
α = 90.00°, β = 90.00°, γ = 126.42°
Positions (direct):
Be (0.0000, 0.0000, 0.0000)
Ir (0.5000, 0.5000, 0.7858)
Cl (0.0000, 0.0000, 0.5815)
Cl (0.5000, 0.5000, 0.1525)

Results
Crystal system: orthorhombic
Calculated total energy: -4.137 eV per atom
V: 19.10 Å³/atom

=====

Entry 17:
BeIrCl3: relaxed, PBE.

a = 4.8017 Å, b = 4.8017 Å, c = 4.8017 Å
α = 90.00°, β = 90.00°, γ = 90.00°
Positions (direct):
Be (0.0000, 0.0000, 0.0000)
Ir (0.5000, 0.5000, 0.5000)
Cl (0.0000, 0.5000, 0.5000)
Cl (0.5000, 0.0000, 0.5000)
Cl (0.5000, 0.5000, 0.0000)

Results
Crystal system: cubic
Calculated total energy: -3.089 eV per atom
V: 22.14 Å³/atom

=====

Entry 18:
BeIrClO2: relaxed, PBE.

a = 3.7122 Å, b = 3.7122 Å, c = 5.1213 Å
α = 90.00°, β = 90.00°, γ = 90.00°
Positions (direct):
Be (0.0000, 0.0000, 0.0000)
Ir (0.0000, 0.0000, 0.5000)
Cl (0.5000, 0.5000, 0.0000)
O (0.0000, 0.5000, 0.5000)
O (0.5000, 0.0000, 0.5000)

Results
Crystal system: tetragonal
Calculated total energy: -5.218 eV per atom
V: 14.11 Å³/atom

=====

Entry 19:
BeIrOsCl2: relaxed, PBE.

a = 4.6261 Å, b = 4.6261 Å, c = 4.4095 Å
α = 90.00°, β = 90.00°, γ = 90.00°
Positions (direct):
Be (0.0000, 0.0000, 0.0000)
Ir (0.5000, 0.5000, 0.0000)
Os (0.0000, 0.0000, 0.5000)
Cl (0.0000, 0.5000, 0.5000)
Cl (0.5000, 0.0000, 0.5000)

Results
Crystal system: tetragonal
Calculated total energy: -3.873 eV per atom
V: 18.87 Å³/atom

=====

Entry 20:
Be2IrOsCl: relaxed, PBE.

a = 4.3671 Å, b = 4.3671 Å, c = 4.3292 Å
α = 90.00°, β = 90.00°, γ = 90.00°
Positions (direct):
Be (0.0000, 0.5000, 0.0000)
Be (0.5000, 0.0000, 0.0000)
Ir (0.0000, 0.0000, 0.5000)
Os (0.5000, 0.5000, 0.0000)
Cl (0.5000, 0.5000, 0.5000)

Results
Crystal system: tetragonal
Calculated total energy: -4.344 eV per atom
V: 16.51 Å³/atom

=====

Quick rundown of raw formation energy, same order as above: 3.92; -0.29; -0.71; 4.76; -0.69; 2.25; 4.24; -0.36; 3.27; 3.38; 2.58; 2.25; 1.42; -0.66; -1.00; -0.27; 2.68; -1.74; 8.14; 7.67 eV/f.u.